Arrangement w

Entry from Alexandria: Sr2CdSe after structural relaxation (PBE).

```
data_Sr2CdSe
_space_group_name_H-M_alt 'P 1'
_space_group_IT_number 1
_space_group_name_Hall 'P 1'
_cell_length_a 5.675
_cell_length_b 5.675
_cell_length_c 5.675
_cell_angle_alpha 60.00
_cell_angle_beta 60.00
_cell_angle_gamma 60.00
loop_
_atom_site_label
_atom_site_fract_x
_atom_site_fract_y
_atom_site_fract_z
Sr1 0.000 0.000 0.000
Sr2 0.250 0.250 0.250
Cd1 0.750 0.750 0.750
Se1 0.500 0.500 0.500
```

Results
calculated volume: 129.2 Å³ per cell
density: 4.71 g/cm3

---

Arrangement x

Entry from Alexandria: Sr2CdSe after structural relaxation (PBE).

```
data_Sr2CdSe
_space_group_name_H-M_alt 'P 1'
_space_group_IT_number 1
_space_group_name_Hall 'P 1'
_cell_length_a 5.644
_cell_length_b 5.644
_cell_length_c 5.644
_cell_angle_alpha 60.00
_cell_angle_beta 60.00
_cell_angle_gamma 60.00
loop_
_atom_site_label
_atom_site_fract_x
_atom_site_fract_y
_atom_site_fract_z
Sr1 0.250 0.250 0.250
Sr2 0.750 0.750 0.750
Cd1 0.000 0.000 0.000
Se1 0.500 0.500 0.500
```

Results
calculated volume: 127.1 Å³ per cell
density: 4.79 g/cm3

---

What are the relative energies? In kJ/mol of atoms: arrangement w 42.3; arrangement x 0.0.

---

Arrangement w

Entry from Alexandria: Ta2Cd2Se after structural relaxation (PBE).

```
data_Ta2Cd2Se
_space_group_name_H-M_alt 'P 1'
_space_group_IT_number 1
_space_group_name_Hall 'P 1'
_cell_length_a 8.823
_cell_length_b 8.823
_cell_length_c 2.824
_cell_angle_alpha 90.00
_cell_angle_beta 90.00
_cell_angle_gamma 90.00
loop_
_atom_site_label
_atom_site_fract_x
_atom_site_fract_y
_atom_site_fract_z
Ta1 0.106 0.394 0.000
Ta2 0.394 0.894 0.000
Ta3 0.606 0.106 0.000
Ta4 0.894 0.606 0.000
Cd1 0.186 0.686 0.500
Cd2 0.314 0.186 0.500
Cd3 0.686 0.814 0.500
Cd4 0.814 0.314 0.500
Se1 0.000 0.000 0.500
Se2 0.500 0.500 0.500
```

Results
calculated volume: 219.8 Å³ per cell
density: 10.06 g/cm3

---

Arrangement x

Entry from Alexandria: Ta2Cd2Se after structural relaxation (PBE).

```
data_Ta2Cd2Se
_space_group_name_H-M_alt 'P 1'
_space_group_IT_number 1
_space_group_name_Hall 'P 1'
_cell_length_a 8.612
_cell_length_b 8.612
_cell_length_c 8.612
_cell_angle_alpha 155.04
_cell_angle_beta 155.04
_cell_angle_gamma 35.59
loop_
_atom_site_label
_atom_site_fract_x
_atom_site_fract_y
_atom_site_fract_z
Ta1 0.250 0.750 0.500
Ta2 0.750 0.250 0.500
Cd1 0.096 0.096 0.000
Cd2 0.904 0.904 0.000
Se1 0.500 0.500 0.000
```

Results
calculated volume: 113.6 Å³ per cell
density: 9.73 g/cm3

---

What are the relative energies? In kJ/mol of atoms: arrangement w 13.5; arrangement x 0.0.

---

Arrangement w

Entry from Alexandria: TaCd3Se after structural relaxation (PBE).

```
data_TaCd3Se
_space_group_name_H-M_alt 'P 1'
_space_group_IT_number 1
_space_group_name_Hall 'P 1'
_cell_length_a 5.442
_cell_length_b 5.442
_cell_length_c 5.442
_cell_angle_alpha 90.00
_cell_angle_beta 90.00
_cell_angle_gamma 90.00
loop_
_atom_site_label
_atom_site_fract_x
_atom_site_fract_y
_atom_site_fract_z
Ta1 0.000 0.000 0.000
Cd1 0.000 0.000 0.500
Cd2 0.000 0.500 0.000
Cd3 0.500 0.000 0.000
Se1 0.500 0.500 0.500
```

Results
calculated volume: 161.2 Å³ per cell
density: 6.15 g/cm3

---

Arrangement x

Entry from Alexandria: TaCd3Se after structural relaxation (PBE).

```
data_TaCd3Se
_space_group_name_H-M_alt 'P 1'
_space_group_IT_number 1
_space_group_name_Hall 'P 1'
_cell_length_a 5.205
_cell_length_b 5.205
_cell_length_c 5.205
_cell_angle_alpha 90.00
_cell_angle_beta 90.00
_cell_angle_gamma 90.00
loop_
_atom_site_label
_atom_site_fract_x
_atom_site_fract_y
_atom_site_fract_z
Ta1 0.000 0.000 0.000
Cd1 0.000 0.500 0.500
Cd2 0.500 0.000 0.500
Cd3 0.500 0.500 0.000
Se1 0.500 0.500 0.500
```

Results
calculated volume: 141.0 Å³ per cell
density: 7.03 g/cm3

---

What are the relative energies? In kJ/mol of atoms: arrangement w 0.0; arrangement x 4.1.

---

Arrangement w

Entry from Alexandria: Ta3CdSe after structural relaxation (PBE).

```
data_Ta3CdSe
_space_group_name_H-M_alt 'P 1'
_space_group_IT_number 1
_space_group_name_Hall 'P 1'
_cell_length_a 4.993
_cell_length_b 4.993
_cell_length_c 4.993
_cell_angle_alpha 90.00
_cell_angle_beta 90.00
_cell_angle_gamma 90.00
loop_
_atom_site_label
_atom_site_fract_x
_atom_site_fract_y
_atom_site_fract_z
Ta1 0.000 0.000 0.500
Ta2 0.000 0.500 0.000
Ta3 0.500 0.000 0.000
Cd1 0.000 0.000 0.000
Se1 0.500 0.500 0.500
```

Results
calculated volume: 124.5 Å³ per cell
density: 9.79 g/cm3

---

Arrangement x

Entry from Alexandria: Ta3CdSe after structural relaxation (PBE).

```
data_Ta3CdSe
_space_group_name_H-M_alt 'P 1'
_space_group_IT_number 1
_space_group_name_Hall 'P 1'
_cell_length_a 4.752
_cell_length_b 4.752
_cell_length_c 4.752
_cell_angle_alpha 90.00
_cell_angle_beta 90.00
_cell_angle_gamma 90.00
loop_
_atom_site_label
_atom_site_fract_x
_atom_site_fract_y
_atom_site_fract_z
Ta1 0.000 0.000 0.500
Ta2 0.000 0.500 0.000
Ta3 0.500 0.000 0.000
Cd1 0.500 0.500 0.500
Se1 0.000 0.000 0.000
```

Results
calculated volume: 107.3 Å³ per cell
density: 11.36 g/cm3

---

What are the relative energies? In kJ/mol of atoms: arrangement w 125.5; arrangement x 0.0.

---

Arrangement w

Entry from Alexandria: Cd3TcSe after structural relaxation (PBE).

```
data_Cd3TcSe
_space_group_name_H-M_alt 'P 1'
_space_group_IT_number 1
_space_group_name_Hall 'P 1'
_cell_length_a 5.276
_cell_length_b 5.276
_cell_length_c 5.276
_cell_angle_alpha 90.00
_cell_angle_beta 90.00
_cell_angle_gamma 90.00
loop_
_atom_site_label
_atom_site_fract_x
_atom_site_fract_y
_atom_site_fract_z
Cd1 0.000 0.000 0.500
Cd2 0.000 0.500 0.000
Cd3 0.500 0.000 0.000
Tc1 0.500 0.500 0.500
Se1 0.000 0.000 0.000
```

Results
calculated volume: 146.9 Å³ per cell
density: 5.81 g/cm3

---

Arrangement x

Entry from Alexandria: Cd3TcSe after structural relaxation (PBE).

```
data_Cd3TcSe
_space_group_name_H-M_alt 'P 1'
_space_group_IT_number 1
_space_group_name_Hall 'P 1'
_cell_length_a 5.300
_cell_length_b 5.300
_cell_length_c 5.300
_cell_angle_alpha 90.00
_cell_angle_beta 90.00
_cell_angle_gamma 90.00
loop_
_atom_site_label
_atom_site_fract_x
_atom_site_fract_y
_atom_site_fract_z
Cd1 0.000 0.000 0.500
Cd2 0.000 0.500 0.000
Cd3 0.500 0.000 0.000
Tc1 0.000 0.000 0.000
Se1 0.500 0.500 0.500
```

Results
calculated volume: 148.9 Å³ per cell
density: 5.73 g/cm3

---

What are the relative energies? In kJ/mol of atoms: arrangement w 24.9; arrangement x 0.0.

---

Arrangement w

Entry from Alexandria: CdTc3Se after structural relaxation (PBE).

```
data_CdTc3Se
_space_group_name_H-M_alt 'P 1'
_space_group_IT_number 1
_space_group_name_Hall 'P 1'
_cell_length_a 4.850
_cell_length_b 4.850
_cell_length_c 4.850
_cell_angle_alpha 90.00
_cell_angle_beta 90.00
_cell_angle_gamma 90.00
loop_
_atom_site_label
_atom_site_fract_x
_atom_site_fract_y
_atom_site_fract_z
Cd1 0.000 0.000 0.000
Tc1 0.000 0.000 0.500
Tc2 0.000 0.500 0.000
Tc3 0.500 0.000 0.000
Se1 0.500 0.500 0.500
```

Results
calculated volume: 114.1 Å³ per cell
density: 7.07 g/cm3

---

Arrangement x

Entry from Alexandria: CdTc3Se after structural relaxation (PBE).

```
data_CdTc3Se
_space_group_name_H-M_alt 'P 1'
_space_group_IT_number 1
_space_group_name_Hall 'P 1'
_cell_length_a 4.576
_cell_length_b 4.576
_cell_length_c 4.576
_cell_angle_alpha 90.00
_cell_angle_beta 90.00
_cell_angle_gamma 90.00
loop_
_atom_site_label
_atom_site_fract_x
_atom_site_fract_y
_atom_site_fract_z
Cd1 0.000 0.000 0.000
Tc1 0.000 0.500 0.500
Tc2 0.500 0.000 0.500
Tc3 0.500 0.500 0.000
Se1 0.500 0.500 0.500
```

Results
calculated volume: 95.8 Å³ per cell
density: 8.41 g/cm3

---

What are the relative energies? In kJ/mol of atoms: arrangement w 163.0; arrangement x 0.0.

---

Arrangement w

Entry from Alexandria: CdTc2Se2 after structural relaxation (PBE).

```
data_CdTc2Se2
_space_group_name_H-M_alt 'P 1'
_space_group_IT_number 1
_space_group_name_Hall 'P 1'
_cell_length_a 5.413
_cell_length_b 5.413
_cell_length_c 5.413
_cell_angle_alpha 126.30
_cell_angle_beta 126.30
_cell_angle_gamma 79.40
loop_
_atom_site_label
_atom_site_fract_x
_atom_site_fract_y
_atom_site_fract_z
Cd1 0.000 0.000 0.000
Tc1 0.368 0.368 0.000
Tc2 0.632 0.632 0.000
Se1 0.250 0.750 0.500
Se2 0.750 0.250 0.500
```

Results
calculated volume: 99.6 Å³ per cell
density: 7.78 g/cm3

---

Arrangement x

Entry from Alexandria: CdTc2Se2 after structural relaxation (PBE).

```
data_CdTc2Se2
_space_group_name_H-M_alt 'P 1'
_space_group_IT_number 1
_space_group_name_Hall 'P 1'
_cell_length_a 4.865
_cell_length_b 4.865
_cell_length_c 4.841
_cell_angle_alpha 90.00
_cell_angle_beta 90.00
_cell_angle_gamma 90.00
loop_
_atom_site_label
_atom_site_fract_x
_atom_site_fract_y
_atom_site_fract_z
Cd1 0.000 0.000 0.000
Tc1 0.500 0.500 0.000
Tc2 0.500 0.500 0.500
Se1 0.000 0.500 0.500
Se2 0.500 0.000 0.500
```

Results
calculated volume: 114.6 Å³ per cell
density: 6.76 g/cm3

---

What are the relative energies? In kJ/mol of atoms: arrangement w 0.0; arrangement x 51.0.

---

Arrangement w

Entry from Alexandria: Cd2TeSe after structural relaxation (PBE).

```
data_Cd2TeSe
_space_group_name_H-M_alt 'P 1'
_space_group_IT_number 1
_space_group_name_Hall 'P 1'
_cell_length_a 4.064
_cell_length_b 7.525
_cell_length_c 7.525
_cell_angle_alpha 31.19
_cell_angle_beta 90.00
_cell_angle_gamma 90.00
loop_
_atom_site_label
_atom_site_fract_x
_atom_site_fract_y
_atom_site_fract_z
Cd1 0.000 0.000 0.000
Cd2 0.500 0.344 0.344
Te1 0.000 0.791 0.791
Se1 0.500 0.533 0.533
```

Results
calculated volume: 119.2 Å³ per cell
density: 6.01 g/cm3

---

Arrangement x

Entry from Alexandria: Cd2TeSe after structural relaxation (PBE).

```
data_Cd2TeSe
_space_group_name_H-M_alt 'P 1'
_space_group_IT_number 1
_space_group_name_Hall 'P 1'
_cell_length_a 7.846
_cell_length_b 7.846
_cell_length_c 7.846
_cell_angle_alpha 33.58
_cell_angle_beta 33.58
_cell_angle_gamma 33.58
loop_
_atom_site_label
_atom_site_fract_x
_atom_site_fract_y
_atom_site_fract_z
Cd1 0.000 0.000 0.000
Cd2 0.490 0.490 0.490
Te1 0.619 0.619 0.619
Se1 0.121 0.121 0.121
```

Results
calculated volume: 131.6 Å³ per cell
density: 5.44 g/cm3

---

What are the relative energies? In kJ/mol of atoms: arrangement w 21.0; arrangement x 0.0.